Material: K2Y2SnS6
Method: DFT, PBE-GGA
State: optimized geometry

Structure (CIF):
```
data_K2Y2SnS6
_cell_length_a 6.851
_cell_length_b 11.795
_cell_length_c 7.928
_cell_angle_alpha 90.00
_cell_angle_beta 106.83
_cell_angle_gamma 90.00
_symmetry_space_group_name_H-M 'C 1 2/m 1'
_symmetry_Int_Tables_number 12
_symmetry_space_group_name_Hall '-C 2y'
loop_
_atom_site_label
_atom_site_type_symbol
_atom_site_fract_x
_atom_site_fract_y
_atom_site_fract_z
K1 K 0.000 0.169 0.000
Y1 Y 0.000 0.332 0.500
Sn1 Sn 0.000 0.000 0.500
S1 S 0.226 0.160 0.696
S2 S 0.247 0.000 0.307
```

## Properties
Electronic total energy = -5.450 eV per atom

Material: K10Zn4Sn4S17
Method: DFT, PBE-GGA
State: optimized geometry

Structure (CIF):
```
data_K10Zn4Sn4S17
_cell_length_a 14.3813
_cell_length_b 14.3813
_cell_length_c 17.2213
_cell_angle_alpha 90.00
_cell_angle_beta 90.00
_cell_angle_gamma 120.00
_symmetry_space_group_name_H-M 'R 3 m'
_symmetry_Int_Tables_number 160
_symmetry_space_group_name_Hall 'R 3 -2"'
loop_
_atom_site_label
_atom_site_type_symbol
_atom_site_fract_x
_atom_site_fract_y
_atom_site_fract_z
K1 K 0.0000 0.0000 0.0000
K2 K 0.0008 0.5004 0.8411
K3 K 0.0242 0.5121 0.3562
K4 K 0.2171 0.4342 0.4568
Zn1 Zn 0.0000 0.0000 0.2059
Zn2 Zn 0.0882 0.1765 0.3859
Sn1 Sn 0.0000 0.0000 0.5680
Sn2 Sn 0.1851 0.3703 0.9317
S1 S 0.0000 0.0000 0.3413
S2 S 0.0000 0.0000 0.7053
S3 S 0.0044 0.2735 0.3437
S4 S 0.0926 0.1853 0.5232
S5 S 0.0974 0.1947 0.8799
S6 S 0.1750 0.0875 0.1544
```

## Properties
Electronic total energy = -3.874 eV per atom

Material: KZn2SnS
Method: DFT, PBE-GGA
State: optimized geometry

Structure (CIF):
```
data_KZn2SnS
_cell_length_a 5.533
_cell_length_b 5.533
_cell_length_c 6.787
_cell_angle_alpha 90.00
_cell_angle_beta 90.00
_cell_angle_gamma 90.00
_symmetry_space_group_name_H-M 'P 4/m m m'
_symmetry_Int_Tables_number 123
_symmetry_space_group_name_Hall '-P 4 2'
loop_
_atom_site_label
_atom_site_type_symbol
_atom_site_fract_x
_atom_site_fract_y
_atom_site_fract_z
K1 K 0.000 0.000 0.000
Zn1 Zn 0.000 0.500 0.000
Sn1 Sn 0.000 0.000 0.500
S1 S 0.500 0.500 0.500
```

## Properties
Polymorph energy (0 for the lowest one) = 328.8 meV per atom

Material: KZn2SnS
Method: DFT, PBE-GGA
State: optimized geometry

Structure (CIF):
```
data_KZn2SnS
_cell_length_a 5.505
_cell_length_b 5.505
_cell_length_c 5.572
_cell_angle_alpha 90.00
_cell_angle_beta 90.00
_cell_angle_gamma 90.00
_symmetry_space_group_name_H-M 'P 4/m m m'
_symmetry_Int_Tables_number 123
_symmetry_space_group_name_Hall '-P 4 2'
loop_
_atom_site_label
_atom_site_type_symbol
_atom_site_fract_x
_atom_site_fract_y
_atom_site_fract_z
K1 K 0.000 0.000 0.000
Zn1 Zn 0.000 0.500 0.000
Sn1 Sn 0.500 0.500 0.500
S1 S 0.000 0.000 0.500
```

## Properties
Polymorph energy (0 for the lowest one) = 0.0 meV per atom

Material: KSrS3
Method: DFT, PBE-GGA
State: optimized geometry

Structure (CIF):
```
data_KSrS3
_cell_length_a 5.426
_cell_length_b 5.426
_cell_length_c 5.426
_cell_angle_alpha 90.00
_cell_angle_beta 90.00
_cell_angle_gamma 90.00
_symmetry_space_group_name_H-M 'P m -3 m'
_symmetry_Int_Tables_number 221
_symmetry_space_group_name_Hall '-P 4 2 3'
loop_
_atom_site_label
_atom_site_type_symbol
_atom_site_fract_x
_atom_site_fract_y
_atom_site_fract_z
K1 K 0.000 0.000 0.000
Sr1 Sr 0.500 0.500 0.500
S1 S 0.000 0.000 0.500
```

## Properties
Polymorph energy (0 for the lowest one) = 440.7 meV per atom

Material: K2SrS
Method: DFT, PBE-GGA
State: optimized geometry

Structure (CIF):
```
data_K2SrS
_cell_length_a 11.838
_cell_length_b 11.838
_cell_length_c 5.719
_cell_angle_alpha 90.00
_cell_angle_beta 90.00
_cell_angle_gamma 90.00
_symmetry_space_group_name_H-M 'I -4 2 d'
_symmetry_Int_Tables_number 122
_symmetry_space_group_name_Hall 'I -4 2bw'
loop_
_atom_site_label
_atom_site_type_symbol
_atom_site_fract_x
_atom_site_fract_y
_atom_site_fract_z
K1 K 0.103 0.250 0.125
Sr1 Sr 0.000 0.000 0.500
S1 S 0.000 0.000 0.000
```

## Properties
Electronic total energy = -2.698 eV per atom

Material: KSr2S
Method: DFT, PBE-GGA
State: optimized geometry

Structure (CIF):
```
data_KSr2S
_cell_length_a 10.416
_cell_length_b 10.416
_cell_length_c 6.815
_cell_angle_alpha 90.00
_cell_angle_beta 90.00
_cell_angle_gamma 90.00
_symmetry_space_group_name_H-M 'I -4 2 d'
_symmetry_Int_Tables_number 122
_symmetry_space_group_name_Hall 'I -4 2bw'
loop_
_atom_site_label
_atom_site_type_symbol
_atom_site_fract_x
_atom_site_fract_y
_atom_site_fract_z
K1 K 0.000 0.000 0.000
Sr1 Sr 0.109 0.750 0.625
S1 S 0.000 0.000 0.500
```

## Properties
Electronic total energy = -2.884 eV per atom

Material: K2SrS2
Method: DFT, PBE-GGA
State: optimized geometry

Structure (CIF):
```
data_K2SrS2
_cell_length_a 8.222
_cell_length_b 8.222
_cell_length_c 4.513
_cell_angle_alpha 90.00
_cell_angle_beta 90.00
_cell_angle_gamma 90.00
_symmetry_space_group_name_H-M 'P 4/m b m'
_symmetry_Int_Tables_number 127
_symmetry_space_group_name_Hall '-P 4 2ab'
loop_
_atom_site_label
_atom_site_type_symbol
_atom_site_fract_x
_atom_site_fract_y
_atom_site_fract_z
K1 K 0.127 0.373 0.000
Sr1 Sr 0.000 0.000 0.500
S1 S 0.185 0.685 0.500
```

## Properties
Electronic total energy = -3.618 eV per atom

Material: KSrS3
Method: DFT, PBE-GGA
State: optimized geometry

Structure (CIF):
```
data_KSrS3
_cell_length_a 5.692
_cell_length_b 5.692
_cell_length_c 5.692
_cell_angle_alpha 90.00
_cell_angle_beta 90.00
_cell_angle_gamma 90.00
_symmetry_space_group_name_H-M 'P m -3 m'
_symmetry_Int_Tables_number 221
_symmetry_space_group_name_Hall '-P 4 2 3'
loop_
_atom_site_label
_atom_site_type_symbol
_atom_site_fract_x
_atom_site_fract_y
_atom_site_fract_z
K1 K 0.000 0.000 0.000
Sr1 Sr 0.500 0.500 0.500
S1 S 0.000 0.500 0.500
```

## Properties
Polymorph energy (0 for the lowest one) = 0.0 meV per atom

Material: KSrS
Method: DFT, PBE-GGA
State: optimized geometry

Structure (CIF):
```
data_KSrS
_cell_length_a 7.628
_cell_length_b 4.408
_cell_length_c 15.345
_cell_angle_alpha 90.00
_cell_angle_beta 92.25
_cell_angle_gamma 90.00
_symmetry_space_group_name_H-M 'C 1 2/m 1'
_symmetry_Int_Tables_number 12
_symmetry_space_group_name_Hall '-C 2y'
loop_
_atom_site_label
_atom_site_type_symbol
_atom_site_fract_x
_atom_site_fract_y
_atom_site_fract_z
K1 K 0.199 0.000 0.354
Sr1 Sr 0.151 0.000 0.866
S1 S 0.023 0.500 0.227
```

## Properties
Electronic total energy = -3.522 eV per atom

Material: KSrS14
Method: DFT, PBE-GGA
State: optimized geometry

Structure (CIF):
```
data_KSrS14
_cell_length_a 8.010
_cell_length_b 14.231
_cell_length_c 16.219
_cell_angle_alpha 90.00
_cell_angle_beta 90.00
_cell_angle_gamma 90.00
_symmetry_space_group_name_H-M 'I m m a'
_symmetry_Int_Tables_number 74
_symmetry_space_group_name_Hall '-I 2b 2'
loop_
_atom_site_label
_atom_site_type_symbol
_atom_site_fract_x
_atom_site_fract_y
_atom_site_fract_z
K1 K 0.000 0.250 0.060
Sr1 Sr 0.250 0.250 0.750
S1 S 0.000 0.121 0.860
S2 S 0.000 0.130 0.633
S3 S 0.000 0.182 0.392
S4 S 0.244 0.125 0.310
S5 S 0.246 0.140 0.917
```

## Properties
Electronic total energy = -3.885 eV per atom

Material: KSr3S
Method: DFT, PBE-GGA
State: optimized geometry

Structure (CIF):
```
data_KSr3S
_cell_length_a 6.820
_cell_length_b 6.820
_cell_length_c 6.820
_cell_angle_alpha 90.00
_cell_angle_beta 90.00
_cell_angle_gamma 90.00
_symmetry_space_group_name_H-M 'P m -3 m'
_symmetry_Int_Tables_number 221
_symmetry_space_group_name_Hall '-P 4 2 3'
loop_
_atom_site_label
_atom_site_type_symbol
_atom_site_fract_x
_atom_site_fract_y
_atom_site_fract_z
K1 K 0.000 0.000 0.000
Sr1 Sr 0.000 0.000 0.500
S1 S 0.500 0.500 0.500
```

## Properties
Polymorph energy (0 for the lowest one) = 1442.6 meV per atom

DOS at the Fermi energy for the records above, in order: 0.00; 0.00; 0.89; 3.90; 2.94; 7.21; 17.18; 0.00; 2.32; 5.57; 18.03; 6.19 states/eV per cell